# 1
Computed, not measured: an optimized crystal structure of CaZnAgBi at the PBE-GGA level of DFT.

abc: 7.285 7.285 7.285
angles: 90.00 90.00 90.00
Space group F-43m (No. 216)
Symmetry-distinct sites (fractional):
Ca 0.000 0.000 0.000 (multiplicity 4)
Zn 0.250 0.250 0.250 (multiplicity 4)
Ag 0.250 0.250 0.750 (multiplicity 4)
Bi 0.000 0.000 0.500 (multiplicity 4)

Magnetic moment (μB per atom): 0.000
Energy of formation (eV per atom): -0.23
Fermi-level density of states (states/eV/cell): 5.53



# 2
Computed, not measured: an optimized crystal structure of Cd2AgBi at the PBE-GGA level of DFT.

abc: 3.248 3.248 9.019
angles: 90.00 90.00 90.00
Space group P4/mmm (No. 123)
Symmetry-distinct sites (fractional):
Cd 0.000 0.000 0.213 (multiplicity 2)
Ag 0.500 0.500 0.000 (multiplicity 1)
Bi 0.500 0.500 0.500 (multiplicity 1)

Magnetic moment (μB per atom): 0.000
Energy of formation (eV per atom): 0.05
Fermi-level density of states (states/eV/cell): 1.10



# 3
Computed, not measured: an optimized crystal structure of CdAg6Bi at the PBE-GGA level of DFT.

abc: 6.1292 6.1292 4.8884
angles: 90.00 90.00 120.00
Space group P-6m2 (No. 187)
Symmetry-distinct sites (fractional):
Cd 0.0000 0.0000 0.0000 (multiplicity 1)
Ag 0.0166 0.5083 0.0000 (multiplicity 3)
Ag 0.1670 0.3340 0.5000 (multiplicity 3)
Bi 0.6667 0.3333 0.5000 (multiplicity 1)

Magnetic moment (μB per atom): 0.000
Energy of formation (eV per atom): 0.04
Fermi-level density of states (states/eV/cell): 4.60



# 4
Computed, not measured: an optimized crystal structure of Cd2Ag2Bi at the PBE-GGA level of DFT.

abc: 8.488 8.488 3.119
angles: 90.00 90.00 90.00
Space group P4/mbm (No. 127)
Symmetry-distinct sites (fractional):
Cd 0.126 0.374 0.000 (multiplicity 4)
Ag 0.170 0.670 0.500 (multiplicity 4)
Bi 0.000 0.000 0.000 (multiplicity 2)

Magnetic moment (μB per atom): 0.000
Energy of formation (eV per atom): 0.06
Energy above the lowest structure with this stoichiometry (meV per atom): 24
Fermi-level density of states (states/eV/cell): 4.04



# 5
Computed, not measured: an optimized crystal structure of Cd7Ag5Bi at the PBE-GGA level of DFT.

abc: 11.319 9.893 5.718
angles: 90.00 119.70 90.00
Space group Cm (No. 8)
Symmetry-distinct sites (fractional):
Cd 0.000 0.000 0.000 (multiplicity 2)
Cd 0.068 0.500 0.067 (multiplicity 2)
Cd 0.192 0.500 0.688 (multiplicity 2)
Cd 0.341 0.202 0.840 (multiplicity 4)
Cd 0.349 0.344 0.348 (multiplicity 4)
Ag 0.094 0.250 0.342 (multiplicity 4)
Ag 0.094 0.251 0.843 (multiplicity 4)
Ag 0.116 0.000 0.615 (multiplicity 2)
Bi 0.333 0.000 0.330 (multiplicity 2)

Magnetic moment (μB per atom): 0.000
Energy of formation (eV per atom): -0.03
Fermi-level density of states (states/eV/cell): 3.93



# 6
Computed, not measured: an optimized crystal structure of CdAgBi2 at the PBE-GGA level of DFT.

abc: 4.824 4.824 4.542
angles: 90.00 90.00 90.00
Space group P4/mmm (No. 123)
Symmetry-distinct sites (fractional):
Cd 0.000 0.000 0.000 (multiplicity 1)
Ag 0.500 0.500 0.000 (multiplicity 1)
Bi 0.000 0.500 0.500 (multiplicity 2)

Magnetic moment (μB per atom): 0.000
Energy of formation (eV per atom): 0.13
Fermi-level density of states (states/eV/cell): 2.56



# 7
Computed, not measured: an optimized crystal structure of Cd3Ag3Bi at the PBE-GGA level of DFT.

abc: 7.575 7.575 7.575
angles: 90.00 90.00 90.00
Space group Pm-3n (No. 223)
Symmetry-distinct sites (fractional):
Cd 0.000 0.250 0.500 (multiplicity 6)
Ag 0.000 0.500 0.250 (multiplicity 6)
Bi 0.000 0.000 0.000 (multiplicity 2)

Magnetic moment (μB per atom): 0.000
Energy of formation (eV per atom): 0.58
Fermi-level density of states (states/eV/cell): 8.96



# 8
Computed, not measured: an optimized crystal structure of Cd2AgBi at the PBE-GGA level of DFT.

abc: 4.419 4.419 20.953
angles: 90.00 90.00 90.00
Space group I-42d (No. 122)
Symmetry-distinct sites (fractional):
Cd 0.223 0.250 0.125 (multiplicity 8)
Ag 0.000 0.000 0.000 (multiplicity 4)
Bi 0.000 0.000 0.500 (multiplicity 4)

Magnetic moment (μB per atom): 0.000
Energy of formation (eV per atom): 0.10
Fermi-level density of states (states/eV/cell): 6.51



# 9
Computed, not measured: an optimized crystal structure of Cd2AgBi at the PBE-GGA level of DFT.

abc: 5.843 3.370 9.905
angles: 90.00 90.09 90.00
Space group C2/m (No. 12)
Symmetry-distinct sites (fractional):
Cd 0.168 0.000 0.219 (multiplicity 4)
Ag 0.000 0.500 0.000 (multiplicity 2)
Bi 0.000 0.500 0.500 (multiplicity 2)

Magnetic moment (μB per atom): 0.000
Energy of formation (eV per atom): 0.07
Fermi-level density of states (states/eV/cell): 2.43



# 10
Computed, not measured: an optimized crystal structure of Cd2AgBi at the PBE-GGA level of DFT.

abc: 4.552 4.552 4.617
angles: 90.00 90.00 90.00
Space group P4/mmm (No. 123)
Symmetry-distinct sites (fractional):
Cd 0.000 0.500 0.000 (multiplicity 2)
Ag 0.000 0.000 0.500 (multiplicity 1)
Bi 0.500 0.500 0.500 (multiplicity 1)

Magnetic moment (μB per atom): 0.000
Energy of formation (eV per atom): 0.08
Fermi-level density of states (states/eV/cell): 1.46



# 11
Computed, not measured: an optimized crystal structure of CdAg3Bi at the PBE-GGA level of DFT.

abc: 5.466 5.466 5.466
angles: 90.00 90.00 90.00
Space group Pm-3m (No. 221)
Symmetry-distinct sites (fractional):
Cd 0.000 0.000 0.000 (multiplicity 1)
Ag 0.000 0.500 0.500 (multiplicity 3)
Bi 0.500 0.500 0.500 (multiplicity 1)

Magnetic moment (μB per atom): 0.000
Energy of formation (eV per atom): 0.48
Energy above the lowest structure with this stoichiometry (meV per atom): 268
Fermi-level density of states (states/eV/cell): 0.01



# 12
Computed, not measured: an optimized crystal structure of Cd2Ag15Bi2 at the PBE-GGA level of DFT.

abc: 9.7295 9.7295 14.2611
angles: 90.00 90.00 120.00
Space group R-3m (No. 166, hexagonal axes)
Symmetry-distinct sites (fractional):
Cd 0.0000 0.0000 0.1081 (multiplicity 6)
Ag 0.0000 0.3115 0.0000 (multiplicity 18)
Ag 0.0000 0.5000 0.5000 (multiplicity 9)
Ag 0.0019 0.5009 0.1576 (multiplicity 18)
Bi 0.0000 0.0000 0.3748 (multiplicity 6)

Magnetic moment (μB per atom): 0.000
Energy of formation (eV per atom): 0.08
Fermi-level density of states (states/eV/cell): 17.92